Here is a relaxed TbPm5Y2Th crystal from Alexandria via LeMat-Bulk. Energies are from PBE.

Results
**Theoretical density**: 7.0 g cm⁻³
**Space-group type**: Cmc2_1, No. 36
**ΔH_f (0 K)**: 154 meV per atom

a = 10.606 Å, b = 10.606 Å, c = 10.597 Å
α = 90.00°, β = 90.00°, γ = 148.94°
Element x y z (fractional)
Tb  0.093  0.907  0.500
Tb  0.907  0.093  0.000
Pm  0.021  0.979  0.789
Pm  0.110  0.890  0.071
Pm  0.207  0.793  0.747
Pm  0.222  0.778  0.356
Pm  0.484  0.516  0.066
Pm  0.516  0.484  0.566
Pm  0.778  0.222  0.856
Pm  0.793  0.207  0.247
Pm  0.890  0.110  0.571
Pm  0.979  0.021  0.289
Y  0.384  0.616  0.362
Y  0.388  0.612  0.780
Y  0.612  0.388  0.280
Y  0.616  0.384  0.862
Th  0.299  0.701  0.055
Th  0.701  0.299  0.555

=====

Here is a relaxed SiB2PbCl crystal from Alexandria via LeMat-Bulk. Energies are from PBE.

Results
**Theoretical density**: 4.1 g cm⁻³
**Formation energy (no corrections)**: 933 kJ/mol of formula units
**Space-group type**: P4/mmm, No. 123

a = 4.669 Å, b = 4.669 Å, c = 5.461 Å
α = 90.00°, β = 90.00°, γ = 90.00°
Element x y z (fractional)
Si  0.000  0.000  0.000
B  0.000  0.500  0.500
B  0.500  0.000  0.500
Pb  0.500  0.500  0.500
Cl  0.500  0.500  0.000

=====

Here is a relaxed Dy2CdFeC crystal from Alexandria via LeMat-Bulk. Energies are from PBE.

Results
**Theoretical density**: 8.9 g cm⁻³
**Space-group type**: P4/mmm, No. 123
**ΔH_f (0 K)**: -305 meV per atom

a = 5.042 Å, b = 5.042 Å, c = 3.716 Å
α = 90.00°, β = 90.00°, γ = 90.00°
Element x y z (fractional)
Dy  0.000  0.500  0.000
Dy  0.500  0.000  0.000
Cd  0.000  0.000  0.500
Fe  0.500  0.500  0.500
C  0.500  0.500  0.000

=====

Here is a relaxed Er5Th3As8 crystal from Alexandria via LeMat-Bulk. Energies are from PBE.

Results
**Theoretical density**: 8.8 g cm⁻³
**Space-group type**: R-3m, No. 166
**ΔH_f (0 K)**: -1475 meV per atom

a = 8.288 Å, b = 8.288 Å, c = 8.288 Å
α = 60.20°, β = 60.20°, γ = 60.20°
Element x y z (fractional)
Er  0.000  0.000  0.000
Er  0.000  0.500  0.500
Er  0.500  0.000  0.500
Er  0.500  0.500  0.000
Er  0.500  0.500  0.500
Th  0.000  0.000  0.500
Th  0.000  0.500  0.000
Th  0.500  0.000  0.000
As  0.250  0.250  0.743
As  0.250  0.743  0.250
As  0.254  0.254  0.254
As  0.257  0.750  0.750
As  0.743  0.250  0.250
As  0.746  0.746  0.746
As  0.750  0.257  0.750
As  0.750  0.750  0.257